# 1
AlIrO3 | PBE | optimized geometry

Total magnetization   0.00 μB per atom
Uncorrected energy   -5.86 eV per atom
Space group   No. 221

```
AlIrO3
1.0
3.898 0.000 0.000
0.000 3.898 0.000
0.000 0.000 3.898
Al Ir O
1 1 3
direct
0.000 0.000 0.000
0.500 0.500 0.500
0.000 0.500 0.500
0.500 0.000 0.500
0.500 0.500 0.000
```

---

# 2
AlIr3O | PBE | optimized geometry

Total magnetization   0.90 μB per atom
Energy above the most stable polymorph in this dataset   1308 meV/atom
Space group   No. 221

```
AlIr3O
1.0
4.511 0.000 0.000
0.000 4.511 0.000
0.000 0.000 4.511
Al Ir O
1 3 1
direct
0.000 0.000 0.000
0.000 0.000 0.500
0.000 0.500 0.000
0.500 0.000 0.000
0.500 0.500 0.500
```

---

Question: Number 2 is which compound?
Answer: AlIr3O